Compound: TlCoPd2F
Source: Alexandria
Functional: PBE+U
Structure: optimized geometry

space group: P4/mmm (123)
raw total energy: -3.48 eV per atom

Cell lengths 5.130, 5.130, 4.492 Å; angles 90.00, 90.00, 90.00 degrees
Positions (direct):
Tl (0.000, 0.000, 0.000)
Co (0.500, 0.500, 0.500)
Pd (0.000, 0.500, 0.000)
Pd (0.500, 0.000, 0.000)
F (0.000, 0.000, 0.500)